A plane-wave DFT calculation with GGA-PBE was carried out for a relaxed structure of Zr2Zn3Cu2.

Computed properties:
Fermi-level density of states ... 9.50 states/eV per cell
Energy relative to the elements ... -1.0 eV per formula unit

Structure (CIF):
```
data_Zr2Zn3Cu2
_chemical_formula_sum 'Zr8 Zn12 Cu8'
_symmetry_space_group_name_H-M 'C m c m'
_symmetry_Int_Tables_number 63
_symmetry_space_group_name_Hall '-C 2c 2'
_cell_length_a 3.533
_cell_length_b 17.867
_cell_length_c 7.348
_cell_angle_alpha 90.00
_cell_angle_beta 90.00
_cell_angle_gamma 90.00
loop_
_atom_site_label
_atom_site_fract_x
_atom_site_fract_y
_atom_site_fract_z
_atom_site_occupancy
Zr1 0.000 0.056 0.250 1
Zr2 0.000 0.160 0.750 1
Zn1 0.000 0.217 0.250 1
Zn2 0.000 0.440 0.074 1
Cu1 0.000 0.307 0.533 1
```